DFT (PBE with a Hubbard U) results for LiNbFeO4 after structural relaxation.

Values from the calculation:
* polymorph energy (0 for the lowest one): 0.056 eV per atom
* total magnetic moment: 8.0 Bohr magnetons per cell

```
LiNbFeO4
1.0
-5.362 2.759 -1.425
-3.132 -4.470 2.827
-0.947 5.915 1.697
Fe O Nb Li
2 8 2 2
direct
0.500 0.500 0.500 Fe
0.500 0.000 0.500 Fe
0.704 0.286 0.555 O
0.755 0.276 0.992 O
0.241 0.269 0.555 O
0.759 0.731 0.445 O
0.247 0.285 0.008 O
0.296 0.714 0.445 O
0.753 0.715 0.992 O
0.245 0.724 0.008 O
0.000 0.500 0.000 Nb
0.500 0.500 0.000 Nb
0.894 0.856 0.712 Li
0.106 0.144 0.288 Li
```